Computed, not measured: a geometry-optimized ZnH2Pd4 structure at the GGA-PBE level of DFT.

```
14
Lattice="5.417 0.000 0.000 2.702 4.927 0.000 1.374 2.091 6.206" Properties=species:S:1:pos:R:3 pbc="T T T"
Zn 0.000 0.000 0.000
Zn 5.033 5.435 3.524
H 3.839 3.991 5.698
H 3.406 2.328 1.443
H 5.171 1.808 4.063
H 5.827 2.675 2.026
Pd 1.696 1.635 1.199
Pd 3.305 3.884 2.328
Pd 3.629 2.399 4.868
Pd 5.533 4.587 5.952
Pd 5.861 4.201 1.144
Pd 4.565 1.283 2.362
Pd 6.438 3.054 3.754
Pd 8.129 5.120 4.848
```

Summary:
The relative energy among the computed polymorphs is 0.000 eV per atom. The volume comes out at 166 Å³ per cell. Its crystal system is triclinic.

=====

Computed, not measured: a geometry-optimized KAsW structure at the GGA-PBE level of DFT.

```
12
Lattice="3.518 0.000 0.000 0.000 4.892 0.000 0.000 0.000 15.116" Properties=species:S:1:pos:R:3 pbc="T T T"
K 0.000 0.000 0.000
K 0.000 2.446 7.558
K 1.759 0.000 7.558
K 1.759 2.446 0.000
As 0.000 0.000 4.773
As 0.000 2.446 12.331
As 1.759 0.000 12.331
As 1.759 2.446 4.773
W 0.000 0.000 10.541
W 0.000 2.446 2.983
W 1.759 0.000 2.983
W 1.759 2.446 10.541
```

Summary:
The relative energy among the computed polymorphs is 0.772 eV per atom. The volume comes out at 260 Å³ per cell. Its crystal system is orthorhombic.

=====

Computed, not measured: a geometry-optimized LuNpGa2 structure at the GGA-PBE level of DFT.

```
4
Lattice="3.216 0.000 0.000 0.000 3.216 0.000 0.000 0.000 8.233" Properties=species:S:1:pos:R:3 pbc="T T T"
Lu 0.000 0.000 0.000
Np 0.000 0.000 4.116
Ga 1.608 1.608 2.011
Ga 1.608 1.608 6.221
```

Summary:
The relative energy among the computed polymorphs is 0.000 eV per atom. The volume comes out at 85 Å³ per cell. Its crystal system is tetragonal.

=====

Computed, not measured: a geometry-optimized Ba5HoS6 structure at the GGA-PBE level of DFT.

```
12
Lattice="3.847 -6.652 0.000 3.847 6.652 0.000 -2.572 0.000 7.222" Properties=species:S:1:pos:R:3 pbc="T T T"
Ba 0.000 0.000 0.000
Ba 2.561 4.444 3.611
Ba 3.847 2.260 0.000
Ba 3.847 -2.260 0.000
Ba 2.561 -4.444 3.611
Ho 2.561 0.000 3.611
S 1.401 2.011 1.953
S 0.248 0.000 5.285
S 1.401 -2.011 1.953
S 3.722 2.011 5.269
S 4.875 0.000 1.937
S 3.722 -2.011 5.269
```

Summary:
The value obtained for the uncorrected formation energy is -2.027 eV per atom. The volume comes out at 370 Å³ per cell. Its crystal system is monoclinic.

=====

Computed, not measured: a geometry-optimized Mg3Cu2Pd structure at the GGA-PBE level of DFT.

```
12
Lattice="4.477 0.000 0.000 -2.239 3.878 0.000 0.000 0.000 10.966" Properties=species:S:1:pos:R:3 pbc="T T T"
Mg 0.000 0.000 2.744
Mg 0.000 0.000 8.222
Mg 0.000 2.585 4.574
Mg 0.000 2.585 10.056
Mg 2.239 1.293 0.909
Mg 2.239 1.293 6.392
Cu 0.000 0.000 0.000
Cu 0.000 0.000 5.483
Cu 0.000 2.585 1.834
Cu 2.239 1.293 9.132
Pd 0.000 2.585 7.317
Pd 2.239 1.293 3.648
```

Summary:
The volume comes out at 190 Å³ per cell. Its crystal system is trigonal. Its total energy is -3.34 eV per atom.

=====

Computed, not measured: a geometry-optimized Li4BiPd structure at the GGA-PBE level of DFT.

```
12
Lattice="5.586 0.000 0.000 0.000 4.608 0.000 -2.769 0.000 7.931" Properties=species:S:1:pos:R:3 pbc="T T T"
Li -0.031 1.152 0.691
Li -0.065 1.152 3.310
Li -0.061 3.456 4.620
Li -0.013 3.456 7.237
Li 2.830 1.152 0.694
Li 2.879 1.152 3.311
Li 2.882 3.456 4.621
Li 2.848 3.456 7.239
Bi 1.403 3.456 1.929
Bi 1.415 1.152 6.002
Pd -1.379 1.152 5.832
Pd 4.196 3.456 2.099
```

Summary:
The relative energy among the computed polymorphs is 0.000 eV per atom. The volume comes out at 204 Å³ per cell. Its crystal system is monoclinic.

=====

Computed, not measured: a geometry-optimized AlAs2PtBr structure at the GGA-PBE level of DFT.

```
5
Lattice="4.878 0.000 0.000 0.000 4.878 0.000 0.000 0.000 4.712" Properties=species:S:1:pos:R:3 pbc="T T T"
Al 0.000 0.000 0.000
As 0.000 2.439 0.000
As 2.439 0.000 0.000
Pt 2.439 2.439 2.356
Br 0.000 0.000 2.356
```

Summary:
The relative energy among the computed polymorphs is 0.215 eV per atom. The value obtained for the uncorrected formation energy is 0.710 eV per atom. The volume comes out at 112 Å³ per cell. Its crystal system is tetragonal.

=====

Computed, not measured: a geometry-optimized RbCrS2 structure at the GGA-PBE level of DFT.

```
16
Lattice="6.845 0.000 0.000 0.000 6.846 0.000 -4.265 0.000 9.836" Properties=species:S:1:pos:R:3 pbc="T T T"
Rb 0.347 1.268 1.187
Rb -1.786 5.578 6.104
Rb 4.366 1.268 3.731
Rb 2.233 5.578 8.649
Cr -0.384 2.950 8.616
Cr 1.748 3.897 3.698
Cr 0.831 2.950 6.138
Cr 2.964 3.897 1.220
S -1.284 2.439 6.663
S 0.849 4.407 1.745
S 1.231 1.831 4.281
S -0.901 5.015 9.199
S 3.481 1.831 0.637
S 1.348 5.015 5.555
S 1.731 2.439 8.091
S 3.864 4.407 3.173
```

Summary:
The value obtained for the uncorrected formation energy is -0.769 eV per atom. The volume comes out at 461 Å³ per cell. Its crystal system is monoclinic.

=====

Computed, not measured: a geometry-optimized CaAc2PaSe6 structure at the GGA-PBE level of DFT.

```
10
Lattice="3.820 2.206 6.601 -3.820 2.206 6.601 0.000 -4.411 6.601" Properties=species:S:1:pos:R:3 pbc="T T T"
Ca 0.000 0.000 0.000
Ac 0.000 0.000 5.709
Ac 0.000 0.000 15.685
Pa 0.000 0.000 9.806
Se -2.211 0.186 7.981
Se -1.538 -1.914 11.267
Se 0.945 -2.008 7.981
Se -0.889 2.289 11.267
Se 1.266 1.822 7.981
Se 2.427 -0.374 11.267
```

Summary:
The value obtained for the uncorrected formation energy is -1.775 eV per atom. The volume comes out at 334 Å³ per cell. Its crystal system is trigonal.

=====

Computed, not measured: a geometry-optimized TaCrCl2 structure at the GGA-PBE level of DFT.

```
8
Lattice="3.597 0.000 0.000 0.000 3.597 0.000 0.000 0.000 10.863" Properties=species:S:1:pos:R:3 pbc="T T T"
Ta 0.000 0.000 0.000
Ta 1.798 1.798 5.432
Cr 0.000 1.798 2.716
Cr 1.798 0.000 8.147
Cl 0.000 0.000 5.432
Cl 0.000 1.798 8.147
Cl 1.798 0.000 2.716
Cl 1.798 1.798 0.000
```

Summary:
The relative energy among the computed polymorphs is 0.974 eV per atom. The value obtained for the uncorrected formation energy is 0.577 eV per atom. The volume comes out at 141 Å³ per cell. Its crystal system is tetragonal.

=====

Computed, not measured: a geometry-optimized ScFe2Ni2 structure at the GGA-PBE level of DFT.

```
10
Lattice="6.985 0.000 0.000 0.000 6.985 0.000 0.000 0.000 2.725" Properties=species:S:1:pos:R:3 pbc="T T T"
Sc 0.000 0.000 0.000
Sc 3.493 3.493 0.000
Fe 1.166 2.327 1.362
Fe 2.327 5.819 1.362
Fe 4.658 1.166 1.362
Fe 5.819 4.658 1.362
Ni 0.889 4.382 0.000
Ni 2.603 0.889 0.000
Ni 4.382 6.096 0.000
Ni 6.096 2.603 0.000
```

Summary:
The relative energy among the computed polymorphs is 0.000 eV per atom. The volume comes out at 133 Å³ per cell. Its crystal system is tetragonal.

=====

Computed, not measured: a geometry-optimized UNbIn structure at the GGA-PBE level of DFT.

```
6
Lattice="3.435 0.000 0.000 0.000 4.904 0.000 0.000 0.000 8.164" Properties=species:S:1:pos:R:3 pbc="T T T"
U 0.859 1.226 0.668
U 2.577 3.678 7.496
Nb 0.859 3.678 1.712
Nb 2.577 1.226 6.452
In 0.859 1.226 3.861
In 2.577 3.678 4.303
```

Summary:
The relative energy among the computed polymorphs is 0.307 eV per atom. The volume comes out at 138 Å³ per cell. Its crystal system is orthorhombic.